*A*
12
Lattice="3.7323 0.0000 0.0000 0.0000 11.3395 0.0000 -0.1161 0.0000 9.6956" Properties=species:S:1:pos:R:3 comment="AcSmMg, relaxed, DFT GGA-PBE" magnetic_moment_mub_per_cell=0.000 spacegroup=P2_1/c dos_ef_per_ev_atom=1.0236 pbc="T T T"
Ac 0.9252 1.6969 0.6050
Ac 0.8671 3.9728 5.4528
Ac 2.7491 7.3667 4.2428
Ac 2.6911 9.6426 9.0906
Sm 0.9201 6.7938 0.9921
Sm 0.8621 10.2154 5.8399
Sm 2.7541 1.1241 3.8557
Sm 2.6961 4.5457 8.7036
Mg 0.8519 7.1116 7.3346
Mg 0.9099 9.8976 2.4868
Mg 2.7063 1.4419 7.2088
Mg 2.7644 4.2279 2.3610

***

*B*
3
Lattice="5.6874 0.0000 0.0000 -2.8437 4.9254 0.0000 0.0000 0.0000 3.6755" Properties=species:S:1:pos:R:3 comment="AcSmMg, relaxed, DFT GGA-PBE" magnetic_moment_mub_per_cell=0.000 spacegroup=P3m1 dos_ef_per_ev_atom=0.9796 pbc="T T T"
Ac 0.0000 0.0000 0.0000
Sm 2.8437 1.6418 2.0482
Mg 0.0000 3.2836 1.3891

***

Energy relative to the most stable one, in eV/atom: *A* 0.000; *B* 0.056